Entry 1:
Ba2Pu3ScO12 GGA-PBE relaxed; formation energy from raw total energies = -2.782 eV/atom; SG = R-3m (166); M_tot = 7.00 Bohr magnetons per cell
1.0
7.5762 -0.2043 -0.1449
3.5639 6.6888 -0.1449
3.5639 2.0745 6.3606
Ba Pu Sc O
2 3 1 12
Cartesian
9.9543 5.7942 4.1098
4.7498 2.7647 1.9610
3.7881 -0.1022 -0.0725
1.7819 3.3444 -0.0725
1.7819 1.0372 3.1803
0.0000 0.0000 0.0000
7.0180 4.0851 6.0202
11.5178 6.7043 1.7694
9.0674 8.0960 5.7424
9.5807 2.6296 1.8652
11.5178 3.8863 5.7424
7.0180 7.0322 1.8652
7.6860 4.4739 0.0506
3.1863 1.8547 4.3014
5.6366 0.4630 0.3284
5.1233 5.9294 4.2056
3.1863 4.6727 0.3284
7.6860 1.5268 4.2056

Entry 2:
Ba3Pu2ScO9 GGA-PBE relaxed; formation energy from raw total energies = -3.039 eV/atom; SG = P-3m1 (164); M_tot = 7.00 Bohr magnetons per cell
1.0
-0.3684 4.7609 -3.7838
-1.6799 -5.5392 -1.9011
-6.9969 1.3187 2.3405
Ba Pu Sc O
3 2 1 9
Cartesian
-5.8331 -1.2407 -0.9931
0.0000 0.0000 0.0000
-3.2122 1.7811 -2.3512
-2.4503 -1.8783 -2.1247
-6.5949 2.4186 -1.2196
-3.4985 0.6593 1.1703
-5.2315 3.9326 -1.9182
-6.0777 1.1424 -2.8757
-5.0459 1.5345 -0.0122
-3.9993 -0.9941 -3.3321
-2.9675 -0.6021 -0.4686
-3.8137 -3.3922 -1.4262
-0.1842 2.3804 -1.8919
-0.8399 -2.7696 -0.9505
-1.0242 -0.3892 -2.8424

Entry 3:
Ba4Pu3ScO12 GGA-PBE relaxed; formation energy from raw total energies = -3.013 eV/atom; SG = Im-3m (229); M_tot = 11.00 Bohr magnetons per cell
1.0
7.5215 0.0000 0.0000
-2.5072 7.0914 0.0000
-2.5072 -3.5457 6.1413
Ba Pu Sc O
4 3 1 12
Cartesian
1.2536 1.7728 3.0707
-1.2536 -1.7728 3.0707
3.7608 0.0000 0.0000
-1.2536 3.5457 0.0000
2.5072 -1.7728 3.0707
2.5072 3.5457 0.0000
-2.5072 1.7728 3.0707
0.0000 0.0000 0.0000
-1.2536 0.8864 4.6060
3.7658 -2.6628 4.6122
1.2485 -0.8828 1.5291
3.7608 2.6593 1.5353
3.7658 5.3257 0.0000
1.2485 1.7657 0.0000
3.7608 0.0000 3.0707
-1.2536 3.5457 3.0707
1.2536 -0.8864 4.6060
-3.7658 2.6628 4.6122
1.2536 4.4321 1.5353
-1.2485 0.8828 1.5291

Entry 4:
BaPu2ScO8 GGA-PBE relaxed; formation energy from raw total energies = -2.789 eV/atom; SG = P2/m (10); M_tot = 5.00 Bohr magnetons per cell
1.0
-3.7855 1.5467 3.0990
1.3394 -3.2206 3.7647
4.2652 4.9664 2.7307
Ba Pu Sc O
1 2 1 8
Cartesian
2.1326 2.4832 1.3653
2.0256 2.9458 5.5116
-0.2065 0.3468 4.0827
0.0000 0.0000 0.0000
1.1238 -1.1506 4.1887
-1.6920 -1.1603 4.7522
-1.7866 1.5532 3.8172
0.6952 4.4431 5.4056
3.5110 4.4529 4.8422
3.6057 1.7393 5.7772
0.5230 1.3754 5.8934
1.2961 1.9171 3.7009

Entry 5:
Ba3PuSc2O9 GGA-PBE relaxed; formation energy from raw total energies = -3.070 eV/atom; SG = P-3m1 (164); M_tot = 2.00 Bohr magnetons per cell
1.0
5.9800 0.0000 0.0000
-2.9900 5.1788 0.0000
0.0000 0.0000 7.3674
Ba Pu Sc O
3 1 2 9
Cartesian
0.0000 3.4526 5.0090
0.0000 0.0000 0.0000
2.9900 1.7263 2.3584
0.0000 0.0000 3.6837
0.0000 3.4526 1.1076
2.9900 1.7263 6.2598
4.5113 0.8480 4.8819
2.9900 3.4829 4.8819
1.4687 0.8480 4.8819
1.5213 4.3309 2.4855
0.0000 1.6959 2.4855
-1.5213 4.3309 2.4855
2.9900 0.0000 0.0000
-1.4950 2.5894 0.0000
1.4950 2.5894 0.0000

Entry 6:
BaPuSe2O GGA-PBE relaxed; formation energy from raw total energies = -2.081 eV/atom; SG = P2_1/m (11); M_tot = 8.00 Bohr magnetons per cell
1.0
-2.1195 -3.6962 -0.2682
0.6139 -0.8888 7.3994
-7.6768 4.5068 -1.4449
Ba Pu Se O
2 2 4 2
Cartesian
-2.4565 -0.1517 4.5156
-6.7258 0.0735 1.1707
-6.3269 2.0509 4.7460
-2.8555 -2.1291 0.9404
-5.8139 -0.7373 5.1387
-1.3845 -3.3112 5.6067
-3.3685 0.6591 0.5477
-7.7979 3.2329 0.0796
-5.8945 1.9410 2.8432
-3.2879 -2.0192 2.8432

Entry 7:
Ba3Pu2Se2O4 GGA-PBE relaxed; formation energy from raw total energies = -2.442 eV/atom; SG = I4/mmm (139); M_tot = 10.00 Bohr magnetons per cell
1.0
-1.8973 2.6390 3.1465
-4.0953 -1.4736 -1.2334
3.8487 -9.9758 7.4354
Ba Pu Se O
3 2 2 4
Cartesian
0.0000 0.0000 0.0000
0.2944 -3.2434 2.8977
-2.4382 -5.5670 6.4508
0.7140 -7.8671 7.0286
-2.8578 -0.9433 2.3199
0.5196 -5.7258 5.1155
-2.6635 -3.0847 4.2330
-1.3179 -8.7777 6.5672
-0.2189 -6.7215 8.7572
-1.9249 -2.0890 0.5913
-0.8259 -0.0327 2.7813

Entry 8:
BaPuSe2O8 GGA-PBE relaxed; formation energy from raw total energies = -1.600 eV/atom; SG = P-3m1 (164); M_tot = 2.00 Bohr magnetons per cell
1.0
6.2351 0.0000 0.0000
-3.1176 5.3998 0.0000
0.0000 0.0000 7.2848
Ba Pu Se O
1 1 2 8
Cartesian
0.0000 0.0000 3.6424
0.0000 0.0000 0.0000
0.0000 3.5999 5.8186
3.1176 1.7999 1.4661
0.0000 1.6198 5.9835
-1.7148 4.5899 5.9835
1.7148 4.5899 5.9835
1.4028 0.8099 1.3013
3.1176 1.7999 3.1190
0.0000 3.5999 4.1658
3.1176 3.7800 1.3013
4.8324 0.8099 1.3013

Entry 9:
BaPuSiO5 GGA-PBE relaxed; formation energy from raw total energies = -2.953 eV/atom; SG = C2/c (15); M_tot = 8.00 Bohr magnetons per cell
1.0
6.0970 -0.0216 0.0171
-1.8005 5.8251 0.0171
-1.7651 -2.3842 7.1904
Ba Pu Si O
2 2 2 10
Cartesian
0.4471 3.2385 1.8147
2.0844 0.1808 5.4099
-0.8826 -1.1921 3.5952
0.0000 0.0000 0.0000
3.1756 1.2184 1.8147
-0.6442 2.2009 5.4099
-1.6492 4.7904 1.8147
4.1806 -1.3711 5.4099
4.5652 1.4738 0.9232
-2.0338 1.9455 6.3015
3.3370 -0.1852 2.7063
-0.8056 3.6045 4.5183
2.8587 2.4863 2.8480
-0.3273 0.9331 4.3766
1.8705 1.1515 0.7814
0.6609 2.2679 6.4432

Entry 10:
BaPuSiO6 GGA-PBE relaxed; formation energy from raw total energies = -2.607 eV/atom; SG = P312 (149); M_tot = 2.00 Bohr magnetons per cell
1.0
-0.8757 3.9063 -3.3833
-1.5520 -1.0677 -4.8913
-5.5573 0.2368 1.7119
Ba Pu Si O
1 1 1 6
Cartesian
-6.4330 4.1429 -1.6714
-4.3971 2.0106 -4.6604
-3.5879 1.0645 -1.9022
-2.3636 -0.1645 -1.3388
-4.1568 1.5273 -0.2323
-4.8712 2.1333 -2.6352
-4.7530 -0.3387 -1.9097
-3.0241 0.8370 -3.6218
-2.3583 2.3924 -1.6754

Entry 11:
BaPuSi2O8 GGA-PBE relaxed; formation energy from raw total energies = -2.576 eV/atom; SG = R32 (155); M_tot = 2.00 Bohr magnetons per cell
1.0
5.1185 0.0000 0.0000
2.5592 4.4327 0.0000
2.5592 1.4776 8.5195
Ba Pu Si O
1 1 2 8
Cartesian
0.0000 0.0000 0.0000
5.1185 2.9551 4.2598
7.6777 4.4327 6.2372
2.5592 1.4776 2.2823
7.6777 4.4327 7.8333
2.5592 1.4776 0.6862
4.0594 1.7410 2.9197
6.6995 3.2652 5.5999
4.0594 4.1693 5.5999
4.5965 4.4794 2.9197
6.6995 2.6451 2.9197
4.5965 1.4309 5.5999

Entry 12:
Ba2SmPu3O12 GGA-PBE relaxed; formation energy from raw total energies = -2.766 eV/atom; SG = R-3m (166); M_tot = 7.00 Bohr magnetons per cell
1.0
-1.2408 1.2162 -6.9242
3.4779 -4.5917 -4.2170
-4.3586 -4.8755 -2.8626
Ba Sm Pu O
2 1 3 12
Cartesian
-1.3040 -5.0718 -8.6080
-0.8174 -3.1792 -5.3957
0.0000 0.0000 0.0000
-0.6204 0.6081 -3.4621
1.7390 -2.2958 -2.1085
-2.1793 -2.4378 -1.4313
-3.2682 -5.1495 -5.3511
0.0152 -5.0214 -10.7993
-1.2965 -7.5842 -9.0906
-1.3160 -1.3353 -7.8942
-3.2816 -5.1408 -10.2295
1.6385 -4.9718 -6.1991
1.1467 -3.1014 -8.6526
-2.1367 -3.2296 -3.2044
-0.8250 -0.6668 -4.9131
-0.8054 -6.9157 -6.1095
1.1602 -3.1102 -3.7742
-3.7600 -3.2792 -7.8046

Entry 13:
Ba3SmPu2O9 GGA-PBE relaxed; formation energy from raw total energies = -2.989 eV/atom; SG = P-3m1 (164); M_tot = 7.00 Bohr magnetons per cell
1.0
-1.6529 2.2543 5.5975
-4.3814 -2.0780 -3.9537
0.6144 -7.0188 3.0082
Ba Sm Pu O
3 1 2 9
Cartesian
-3.0666 -5.2642 1.2145
0.0000 0.0000 0.0000
-2.3534 -1.5783 3.4375
0.3072 -3.5094 1.5041
-3.3716 -1.7800 -0.2787
-2.0484 -5.0625 4.9308
-1.7095 -3.2258 5.9776
-3.8227 -4.2280 4.0707
-0.9123 -4.3131 3.2779
-4.5077 -2.5295 1.3741
-1.5972 -2.6145 0.5813
-3.7105 -3.6167 -1.3256
-0.8265 1.1272 2.7988
-2.1907 -1.0390 -1.9768
-3.0172 0.0882 0.8219

Entry 14:
BaSmPu2O8 GGA-PBE relaxed; formation energy from raw total energies = -2.733 eV/atom; SG = I-4m2 (119); M_tot = 5.00 Bohr magnetons per cell
1.0
5.6024 0.0000 0.0000
0.0000 5.6024 0.0000
-2.8012 -2.8012 5.3569
Ba Sm Pu O
1 1 2 8
Cartesian
0.0000 0.0000 0.0000
2.8012 0.0000 2.6785
2.8012 2.8012 0.0000
0.0000 2.8012 2.6785
4.1250 4.0072 1.3876
1.4774 1.5952 1.3876
1.2073 1.3224 3.9682
-1.2073 -1.3224 3.9682
4.1236 1.5939 1.3887
1.4788 4.0085 1.3887
-1.2060 1.3238 3.9693
1.2060 -1.3238 3.9693

Entry 15:
BaPuSnO6 GGA-PBE relaxed; formation energy from raw total energies = -2.304 eV/atom; SG = P-31c (163); M_tot = 4.00 Bohr magnetons per cell
1.0
5.5899 0.0000 0.0000
-2.7949 4.8410 0.0000
0.0000 0.0000 11.6459
Ba Pu Sn O
2 2 2 12
Cartesian
0.0000 0.0000 0.0000
0.0000 0.0000 5.8230
2.7949 1.6137 2.9115
0.0000 3.2273 8.7344
0.0000 3.2273 2.9115
2.7949 1.6137 8.7344
1.7622 3.0193 1.7632
4.5286 1.8052 1.7632
-0.7010 4.8245 7.5861
-1.7337 3.0358 9.8827
1.0612 1.8052 4.0598
3.8277 3.0193 4.0598
0.7010 4.8245 9.8827
3.4959 0.0164 4.0598
-1.0327 1.8216 7.5861
2.0940 0.0164 1.7632
1.7337 3.0358 7.5861
1.0327 1.8216 9.8827

Entry 16:
Ba4Pu3SnO12 GGA-PBE relaxed; formation energy from raw total energies = -2.766 eV/atom; SG = Im-3m (229); M_tot = 12.00 Bohr magnetons per cell
1.0
7.5562 0.0000 0.0000
-2.5187 7.1240 0.0000
-2.5187 -3.5620 6.1696
Ba Pu Sn O
4 3 1 12
Cartesian
1.2594 1.7810 3.0848
-1.2594 -1.7810 3.0848
3.7781 0.0000 0.0000
-1.2594 3.5620 0.0000
2.5187 -1.7810 3.0848
2.5187 3.5620 0.0000
-2.5187 1.7810 3.0848
0.0000 0.0000 0.0000
-1.2594 0.8905 4.6272
3.8119 -2.6954 4.6686
1.2256 -0.8666 1.5010
3.7781 2.6715 1.5424
3.8119 5.3908 0.0000
1.2256 1.7333 0.0000
3.7781 0.0000 3.0848
-1.2594 3.5620 3.0848
1.2594 -0.8905 4.6272
-3.8119 2.6954 4.6686
1.2594 4.4525 1.5424
-1.2256 0.8666 1.5010

Entry 17:
Ba2PuSnO6 GGA-PBE relaxed; formation energy from raw total energies = -2.571 eV/atom; SG = P4/mmm (123); M_tot = 3.98 Bohr magnetons per cell
1.0
4.3090 0.0000 0.0000
0.0000 4.3090 0.0000
0.0000 0.0000 8.6502
Ba Pu Sn O
2 1 1 6
Cartesian
0.0000 0.0000 6.3492
0.0000 0.0000 2.3011
2.1545 2.1545 0.0000
2.1545 2.1545 4.3251
2.1545 0.0000 0.0000
2.1545 0.0000 4.3251
0.0000 2.1545 0.0000
0.0000 2.1545 4.3251
2.1545 2.1545 6.3895
2.1545 2.1545 2.2608

Entry 18:
BaSrPuO6 GGA-PBE relaxed; formation energy from raw total energies = -2.496 eV/atom; SG = P312 (149); M_tot = 0.00 Bohr magnetons per cell
1.0
-2.5689 -2.0334 -5.1621
-4.9848 -3.5312 0.2506
-3.0654 4.3151 -0.1744
Ba Sr Pu O
1 1 1 6
Cartesian
-10.6189 -1.2495 -5.0858
-6.5683 -1.5522 -3.3614
-4.0505 0.3026 -1.7242
-2.7518 -0.0539 -0.2688
-3.3320 2.1453 -1.8682
-5.4057 0.6211 -3.1365
-5.3072 0.8062 -0.2753
-4.7701 -1.5441 -1.6608
-2.7366 -0.1586 -3.1360

Entry 19:
Ba3Sr2PuO8 GGA-PBE relaxed; formation energy from raw total energies = -2.529 eV/atom; SG = P-3m1 (164); M_tot = 2.00 Bohr magnetons per cell
1.0
-0.5733 0.9561 6.1731
1.4266 -5.7101 -2.1703
8.0294 1.8305 0.4622
Ba Sr Pu O
3 2 1 8
Cartesian
5.7494 -2.3506 0.8980
3.1334 -0.5729 3.5670
0.0000 0.0000 0.0000
2.2471 -3.1490 0.6964
6.6357 0.2255 3.7685
4.0147 0.9152 0.2311
8.0791 -1.8195 1.0321
0.8036 -1.1040 3.4329
3.9287 -4.0499 -0.7321
4.9541 1.1265 5.1970
3.1569 -0.9609 0.4420
5.7259 -1.9625 4.0230
3.6185 -3.5327 2.6074
5.2642 0.6092 1.8575